The following is a PBE-GGA calculation of crystalline CsRb2CdBi2 at its relaxed geometry, from Alexandria via LeMat-Bulk.

Results
- space-group type = Ibam, No. 72
- magnetic moment (Bohr magnetons per cell) = 0.013
- calculated formation energy (eV/atom) = -0.26

Unit cell a=7.855 b=9.854 c=9.979 alpha=119.59 beta=113.18 gamma=90.00
Positions (direct):
Rb1 0.824 0.497 0.648
Rb2 0.176 0.503 0.352
Rb3 0.676 0.849 0.352
Bi1 0.594 0.409 0.187
Cd1 0.750 0.500 0.000
Bi2 0.094 0.779 0.187
Bi3 0.406 0.591 0.813
Bi4 0.906 0.221 0.813
Rb4 0.324 0.151 0.648
Cs1 0.250 0.000 0.000
Cd2 0.250 0.500 0.000
Cs2 0.750 0.000 0.000


The following is a PBE-GGA calculation of crystalline La4AlZn2In at its relaxed geometry, from Alexandria via LeMat-Bulk.

Results
- space-group type = R-3m, No. 166
- magnetic moment (Bohr magnetons per cell) = 0.000
- calculated formation energy (eV/atom) = -0.37

Unit cell a=5.416 b=5.416 c=9.401 alpha=73.26 beta=73.26 gamma=60.00
Positions (direct):
Zn1 0.251 0.251 0.246
In1 0.000 0.000 0.000
La1 0.129 0.129 0.614
La2 0.871 0.871 0.386
La3 0.622 0.622 0.135
La4 0.378 0.378 0.865
Zn2 0.749 0.749 0.754
Al1 0.500 0.500 0.500


The following is a PBE-GGA calculation of crystalline SnBiSbTe2 at its relaxed geometry, from Alexandria via LeMat-Bulk.

Results
- space-group type = P4/mmm, No. 123
- offset from the most stable computed form (eV/atom) = 0.070
- magnetic moment (Bohr magnetons per cell) = 0.000
- formation energy from raw total energies (eV/atom) = 0.6174

Unit cell a=5.908 b=5.908 c=5.780 alpha=90.00 beta=90.00 gamma=90.00
Positions (direct):
Bi1 0.000 0.000 0.000
Sb1 0.000 0.000 0.500
Te1 0.000 0.500 0.000
Sn1 0.500 0.500 0.500
Te2 0.500 0.000 0.000


The following is a PBE-GGA calculation of crystalline Sc4Cd2Ag at its relaxed geometry, from Alexandria via LeMat-Bulk.

Results
- space-group type = R-3m, No. 166
- magnetic moment (Bohr magnetons per cell) = 0.000
- calculated formation energy (eV/atom) = -0.07

Unit cell a=4.903 b=4.903 c=8.372 alpha=72.97 beta=72.97 gamma=60.00
Positions (direct):
Cd1 0.748 0.748 0.757
Sc1 0.620 0.620 0.141
Cd2 0.252 0.252 0.243
Sc2 0.380 0.380 0.859
Ag1 0.000 0.000 0.000
Sc3 0.872 0.872 0.384
Sc4 0.128 0.128 0.616


The following is a PBE-GGA calculation of crystalline Mn2TlRu at its relaxed geometry, from Alexandria via LeMat-Bulk.

Results
- space-group type = I-42d, No. 122
- offset from the most stable computed form (eV/atom) = 0.387
- magnetic moment (Bohr magnetons per cell) = 14.849
- calculated formation energy (eV/atom) = 0.73

Unit cell a=7.247 b=7.247 c=5.810 alpha=51.42 beta=51.42 gamma=90.00
Positions (direct):
Tl1 0.000 0.000 0.000
Mn1 0.164 0.625 0.250
Mn2 0.375 0.414 0.750
Ru1 0.500 0.500 0.000
Mn3 0.875 0.836 0.750
Tl2 0.750 0.250 0.500
Mn4 0.586 0.125 0.250
Ru2 0.250 0.750 0.500


The following is a PBE-GGA calculation of crystalline BaY4Mg5 at its relaxed geometry, from Alexandria via LeMat-Bulk.

Results
- space-group type = P4/mmm, No. 123
- magnetic moment (Bohr magnetons per cell) = 0.001
- calculated formation energy (eV/atom) = -0.08

Unit cell a=3.849 b=3.849 c=20.086 alpha=90.00 beta=90.00 gamma=90.00
Positions (direct):
Y1 0.000 0.000 0.777
Mg1 0.500 0.500 0.686
Mg2 0.500 0.500 0.129
Y2 0.000 0.000 0.223
Y3 0.000 0.000 0.593
Y4 0.000 0.000 0.407
Mg3 0.500 0.500 0.871
Mg4 0.500 0.500 0.314
Ba1 0.000 0.000 0.000
Mg5 0.500 0.500 0.500


What is the magnetic moment in the second record?
0.000 Bohr magnetons per cell


What is the magnetic moment in the fifth record?
14.849 Bohr magnetons per cell


Among the records above, which one has the highest magnetic moment?
Mn2TlRu


What did the fifth record say?
The following is a PBE-GGA calculation of crystalline Mn2TlRu at its relaxed geometry, from Alexandria via LeMat-Bulk.

Results
- space-group type = I-42d, No. 122
- offset from the most stable computed form (eV/atom) = 0.387
- magnetic moment (Bohr magnetons per cell) = 14.849
- calculated formation energy (eV/atom) = 0.73

Unit cell a=7.247 b=7.247 c=5.810 alpha=51.42 beta=51.42 gamma=90.00
Positions (direct):
Tl1 0.000 0.000 0.000
Mn1 0.164 0.625 0.250
Mn2 0.375 0.414 0.750
Ru1 0.500 0.500 0.000
Mn3 0.875 0.836 0.750
Tl2 0.750 0.250 0.500
Mn4 0.586 0.125 0.250
Ru2 0.250 0.750 0.500